1.
Computed, not measured: crystalline Sc2ReS at its relaxed geometry at the PBE level of DFT.

Cell and atoms, written as POSCAR:
```
Sc2ReS
1.0
1.9217 5.4547 6.4291
0.8729 2.9311 8.0886
3.9084 3.0384 7.0903
Sc Re S
2 1 1
Direct
0.9001 0.9001 0.9001
0.0999 0.0999 0.0999
0.0000 0.0000 0.0000
0.5000 0.5000 0.5000
```

## Properties
Crystal system: trigonal
SG: R-3m, No. 166


2.
Computed, not measured: crystalline Sc2ReS at its relaxed geometry at the PBE level of DFT.

Cell and atoms, written as POSCAR:
```
Sc2ReS
1.0
0.8870 2.4160 3.8275
1.5420 4.3355 -0.3150
-2.7379 3.5140 1.1954
Sc Re S
2 1 1
Direct
0.2500 0.2500 0.2500
0.7500 0.7500 0.7500
0.5000 0.5000 0.5000
0.0000 0.0000 0.0000
```

## Properties
Crystal system: cubic
SG: Fm-3m, No. 225


3.
Computed, not measured: crystalline Sc2ReS at its relaxed geometry at the PBE level of DFT.

Cell and atoms, written as POSCAR:
```
Sc2ReS
1.0
-4.0914 4.3114 3.7563
-1.4865 -5.2619 4.4205
-0.4050 0.2925 5.8038
Sc Re S
4 2 2
Direct
0.6016 0.1250 0.2500
0.1484 0.6250 0.2500
0.3750 0.3984 0.7500
0.8750 0.8516 0.7500
0.0000 0.0000 0.0000
0.7500 0.2500 0.5000
0.5000 0.5000 0.0000
0.2500 0.7500 0.5000
```

## Properties
Crystal system: tetragonal
SG: I-42d, No. 122


Quick one: least stable of them? 3